No. 1
Computed, not measured: crystalline LiAgP2O at its relaxed geometry at the PBEsol level of DFT.

a = 4.8342 Å, b = 4.8342 Å, c = 3.9567 Å
α = 90.00°, β = 90.00°, γ = 90.00°
Last column: nearest neighbours and their distance in Å.
Atoms (fractional coordinates):
Li (0.0000, 0.0000, 0.0000)  8 P 3.12, 4 O 3.42
Ag (0.5000, 0.5000, 0.5000)  2 O 1.98
P (0.0000, 0.5000, 0.5000)  2 Ag 2.42
P (0.5000, 0.0000, 0.5000)  2 Ag 2.42
O (0.5000, 0.5000, 0.0000)  2 Ag 1.98

Computed properties:
DFT total energy in eV/atom: -3.76
Space-group type: No. 123
E_form (uncorrected) in meV per atom: 662.1

No. 2
Computed, not measured: crystalline LiAgPO2 at its relaxed geometry at the PBEsol level of DFT.

a = 3.6351 Å, b = 3.6351 Å, c = 4.5864 Å
α = 90.00°, β = 90.00°, γ = 90.00°
Last column: nearest neighbours and their distance in Å.
Atoms (fractional coordinates):
Li (0.0000, 0.0000, 0.0000)  4 O 1.82
Ag (0.5000, 0.5000, 0.5000)  4 P 2.57
P (0.0000, 0.0000, 0.5000)  2 Li 2.29
O (0.0000, 0.5000, 0.0000)  2 Li 1.82
O (0.5000, 0.0000, 0.0000)  2 Li 1.82

Computed properties:
DFT total energy in eV/atom: -3.94
Space-group type: No. 123
E_form (uncorrected) in meV per atom: 371.1